[1]
VASP calculation (meta-GGA SCAN) on a crystal of SrLaTiMo2 relaxed with PBEsol.

Calculated values
For the total magnetic moment, the calculation gives 2.25 μB per cell. The calculation puts the calculated formation energy at 1835 meV/atom. The value obtained for the volume is 25.0 Å³/atom. The calculation puts the energy at -142.004 eV for the cell shown.

Cell: 4.790 4.790 5.440 Å, 90.00 90.00 90.00°
Element x y z (fractional)
1 Mo 0.000 0.500 0.000
2 Sr 0.000 0.000 0.500
3 Ti 0.500 0.500 0.500
4 Mo 0.500 0.000 0.000
5 La 0.000 0.000 0.000

[2]
VASP calculation (meta-GGA SCAN) on a crystal of LaTa2ZnMo relaxed with PBEsol.

Calculated values
For the total magnetic moment, the calculation gives 0.00 μB per cell. The calculation puts the calculated formation energy at 729 meV/atom. The value obtained for the volume is 23.1 Å³/atom. The calculation puts the energy at -221.028 eV for the cell shown.

Cell: 4.779 4.779 5.051 Å, 90.00 90.00 90.00°
Element x y z (fractional)
1 La 0.500 0.500 0.500
2 Zn 0.000 0.000 0.500
3 Mo 0.000 0.000 0.000
4 Ta 0.500 0.000 0.000
5 Ta 0.000 0.500 0.000

[3]
VASP calculation (meta-GGA SCAN) on a crystal of La2TcMo relaxed with PBEsol.

Calculated values
For the total magnetic moment, the calculation gives 0.00 μB per cell. The calculation puts the calculated formation energy at 687 meV/atom. The value obtained for the volume is 20.4 Å³/atom. The calculation puts the polymorph energy (0 for the lowest one) at 0.0000 eV/atom. The calculation puts the energy at -153.408 eV for the cell shown.

Cell: 3.142 3.142 9.127 Å, 90.00 90.00 115.18°
Element x y z (fractional)
1 La 0.000 0.000 0.756
2 Mo 0.500 0.500 0.500
3 La 0.000 0.000 0.244
4 Tc 0.500 0.500 0.000

[4]
VASP calculation (meta-GGA SCAN) on a crystal of LaTc3Mo relaxed with PBEsol.

Calculated values
For the total magnetic moment, the calculation gives 0.83 μB per cell. The calculation puts the calculated formation energy at 2372 meV/atom. The value obtained for the volume is 19.4 Å³/atom. The calculation puts the energy at -171.310 eV for the cell shown.

Cell: 4.598 4.598 4.598 Å, 90.00 90.00 90.00°
Element x y z (fractional)
1 Tc 0.000 0.500 0.000
2 Tc 0.500 0.000 0.000
3 Mo 0.500 0.500 0.500
4 Tc 0.000 0.000 0.500
5 La 0.000 0.000 0.000

[5]
VASP calculation (meta-GGA SCAN) on a crystal of La2TcMo relaxed with PBEsol.

Calculated values
For the total magnetic moment, the calculation gives 0.00 μB per cell. The calculation puts the calculated formation energy at 726 meV/atom. The value obtained for the volume is 20.8 Å³/atom. The calculation puts the polymorph energy (0 for the lowest one) at 0.0395 eV/atom. The calculation puts the energy at -153.250 eV for the cell shown.

Cell: 4.073 4.073 5.783 Å, 110.62 110.62 90.00°
Element x y z (fractional)
1 La 0.000 0.000 0.000
2 La 0.750 0.250 0.500
3 Tc 0.250 0.750 0.500
4 Mo 0.500 0.500 0.000

[6]
VASP calculation (meta-GGA SCAN) on a crystal of La2TeMo relaxed with PBEsol.

Calculated values
For the total magnetic moment, the calculation gives 1.13 μB per cell. As for the uncorrected formation energy: -96.4 kJ/mol of formula units. The value obtained for the volume is 25.0 Å³/atom. The calculation puts the energy at -159.346 eV for the cell shown.

Cell: 3.750 5.263 5.263 Å, 105.59 90.00 90.00°
Element x y z (fractional)
1 Mo 0.500 0.500 0.500
2 La 0.000 0.500 0.000
3 La 0.000 0.000 0.500
4 Te 0.500 0.000 0.000

Look up the energy of the second one.
-221.028 eV for the cell shown